# 1
A plane-wave DFT calculation with GGA-PBE was carried out for a relaxed structure of Dy2ZrS.

a b c (Å): 3.5614 3.5614 28.7733
angles (deg): 90.00 90.00 120.00
Space group R-3m (No. 166, hexagonal axes)
Symmetry-distinct sites (fractional):
1 Dy 0.0000 0.0000 0.1069
2 Zr 0.0000 0.0000 0.0000
3 S 0.0000 0.0000 0.5000

Electronic total energy in eV per atom: -6.004

=====

# 2
A plane-wave DFT calculation with GGA-PBE was carried out for a relaxed structure of Tm6FeSb2.

a b c (Å): 8.0887 8.0887 4.0975
angles (deg): 90.00 90.00 120.00
Space group P-62m (No. 189)
Symmetry-distinct sites (fractional):
1 Tm 0.0000 0.2340 0.0000
2 Tm 0.0000 0.6063 0.5000
3 Fe 0.0000 0.0000 0.5000
4 Sb 0.3333 0.6667 0.0000

Electronic total energy in eV per atom: -5.397

=====

# 3
A plane-wave DFT calculation with GGA-PBE was carried out for a relaxed structure of BHPb.

a b c (Å): 7.7121 3.1752 7.8343
angles (deg): 90.00 105.29 90.00
Space group P2_1/c (No. 14)
Symmetry-distinct sites (fractional):
1 B 0.0041 0.1222 0.2520
2 H 0.4299 0.7220 0.3565
3 Pb 0.2841 0.6281 0.5689

Energy above the most stable polymorph in this dataset in meV/atom: 332